Material: Th4P2Se
Method: DFT, PBE
State: optimized geometry

```
Th4P2Se
1.0
3.995 0.000 0.000
-1.997 6.859 0.000
0.000 0.000 13.870
Th P Se
8 4 2
direct
0.773 0.546 0.123 Th
0.773 0.546 0.377 Th
0.227 0.454 0.877 Th
0.227 0.454 0.623 Th
0.934 0.868 0.750 Th
0.066 0.132 0.250 Th
0.500 0.000 0.000 Th
0.500 0.000 0.500 Th
0.138 0.276 0.440 P
0.862 0.724 0.940 P
0.138 0.276 0.060 P
0.862 0.724 0.560 P
0.601 0.201 0.750 Se
0.399 0.799 0.250 Se
```

E ... -7.444 eV/atom
Formation energy without anion corrections ... -1.16 eV/atom